# 1
Ti3CrFe after structural relaxation. Source: Alexandria via LeMat-Bulk, functional PBE.

Calculated values
Density of states at the Fermi level ... 9.8 states/eV/f.u.
Formation enthalpy at 0 K ... 3.437 eV per formula unit
Offset from the most stable computed form ... 0 meV/atom
Volume ... 85.3 Å³/cell

Cell: 4.403 4.403 4.403 Å, 90.00 90.00 90.00°
Sites, in units of the cell vectors:
Ti  0.000  0.000  0.500
Ti  0.500  0.000  0.000
Ti  0.000  0.500  0.000
Fe  0.000  0.000  0.000
Cr  0.500  0.500  0.500

---

# 2
TbMn2Pd7 after structural relaxation. Source: Alexandria via LeMat-Bulk, functional PBE.

Calculated values
Density of states at the Fermi level ... 4.4 states/eV/f.u.
Formation enthalpy at 0 K ... 0.509 eV per formula unit
Volume ... 204.7 Å³/cell

Cell: 4.462 7.305 7.305 Å, 120.71 90.00 90.00°
Each line ends with the local moment (μB).
Sites, in units of the cell vectors:
Pd  0.500  0.698  0.930  0.10
Pd  0.500  0.302  0.070  0.10
Pd  0.500  0.500  0.500  0.13
Pd  0.000  0.215  0.785  0.20
Pd  0.000  0.785  0.215  0.20
Pd  0.500  0.070  0.302  0.10
Pd  0.500  0.930  0.698  0.10
Mn  0.500  0.699  0.301  3.81
Mn  0.500  0.301  0.699  3.81
Tb  0.000  0.000  0.000  0.01

---

# 3
TbNd2Te4 after structural relaxation. Source: Alexandria via LeMat-Bulk, functional PBE.

Calculated values
Density of states at the Fermi level ... 2.8 states/eV/f.u.
Raw formation energy ... -1.377 eV/atom
Offset from the most stable computed form ... 28 meV/atom
Volume ... 485.6 Å³/cell

Cell: 4.303 7.693 15.280 Å, 90.00 90.00 106.24°
Sites, in units of the cell vectors:
Nd  0.868  0.736  0.571
Nd  0.132  0.264  0.429
Nd  0.132  0.264  0.071
Nd  0.868  0.736  0.929
Tb  0.372  0.744  0.250
Tb  0.628  0.256  0.750
Te  0.218  0.436  0.875
Te  0.782  0.564  0.125
Te  0.975  0.951  0.750
Te  0.025  0.049  0.250
Te  0.782  0.564  0.375
Te  0.500  0.000  0.000
Te  0.500  0.000  0.500
Te  0.218  0.436  0.625

---

# 4
NbInCu2C after structural relaxation. Source: Alexandria via LeMat-Bulk, functional PBE.

Calculated values
Density of states at the Fermi level ... 3.1 states/eV/f.u.
Formation enthalpy at 0 K ... 6.189 eV per formula unit
Volume ... 100.0 Å³/cell

Cell: 4.978 4.036 4.978 Å, 90.00 90.00 90.00°
Sites, in units of the cell vectors:
Nb  0.000  0.000  0.000
Cu  0.000  0.000  0.500
Cu  0.500  0.000  0.000
C  0.000  0.500  0.000
In  0.500  0.500  0.500

---

# 5
PrYZnRh after structural relaxation. Source: Alexandria via LeMat-Bulk, functional PBE.

Calculated values
Density of states at the Fermi level ... 2.2 states/eV/f.u.
Formation enthalpy at 0 K ... -2.049 eV per formula unit
Offset from the most stable computed form ... 22 meV/atom
Volume ... 91.3 Å³/cell

Cell: 5.054 5.054 5.054 Å, 60.00 60.00 60.00°
Sites, in units of the cell vectors:
Rh  0.500  0.500  0.500
Pr  0.250  0.250  0.250
Y  0.750  0.750  0.750
Zn  0.000  0.000  0.000

---

# 6
Pa3GeP3 after structural relaxation. Source: Alexandria via LeMat-Bulk, functional PBE.

Calculated values
Density of states at the Fermi level ... 5.6 states/eV/f.u.
Formation enthalpy at 0 K ... -4.294 eV per formula unit
Volume ... 179.6 Å³/cell

Cell: 5.642 5.642 5.642 Å, 90.00 90.00 90.00°
Sites, in units of the cell vectors:
Ge  0.500  0.500  0.500
Pa  0.000  0.500  0.500
Pa  0.500  0.500  0.000
Pa  0.500  0.000  0.500
P  0.000  0.000  0.500
P  0.000  0.500  0.000
P  0.500  0.000  0.000

---

# 7
Tb2Pr3In4 after structural relaxation. Source: Alexandria via LeMat-Bulk, functional PBE.

Calculated values
Density of states at the Fermi level ... 9.0 states/eV/f.u.
Formation enthalpy at 0 K ... -3.684 eV per formula unit
Offset from the most stable computed form ... 0 meV/atom
Volume ... 264.4 Å³/cell

Cell: 5.418 5.414 10.409 Å, 90.07 90.00 59.97°
Sites, in units of the cell vectors:
Pr  0.667  0.667  0.579
Pr  0.333  0.333  0.421
Pr  0.000  0.000  0.000
Tb  0.333  0.334  0.780
Tb  0.667  0.666  0.220
In  0.000  0.000  0.345
In  0.334  0.333  0.100
In  0.666  0.667  0.900
In  0.000  0.000  0.655

---

# 8
Cs3Ba2PuO6 after structural relaxation. Source: Alexandria via LeMat-Bulk, functional PBE.

Calculated values
Density of states at the Fermi level ... 11.2 states/eV/f.u.
Raw formation energy ... -2.210 eV/atom
Volume ... 268.8 Å³/cell

Cell: 6.716 6.716 7.221 Å, 98.74 98.74 119.98°
Each line ends with the local moment (μB).
Sites, in units of the cell vectors:
Cs  0.500  0.500  0.500  0.00
Cs  0.164  0.836  0.500  0.00
Cs  0.836  0.164  0.500  0.00
O  0.785  0.785  0.181  -0.06
O  0.058  0.329  0.174  -0.07
O  0.942  0.671  0.826  -0.07
O  0.215  0.215  0.819  -0.06
O  0.329  0.058  0.174  -0.07
O  0.671  0.942  0.826  -0.07
Ba  0.666  0.334  0.000  0.01
Ba  0.334  0.666  0.000  0.01
Pu  0.000  0.000  0.000  3.39

---

# 9
Cs2ZrFeCo after structural relaxation. Source: Alexandria via LeMat-Bulk, functional PBE.

Calculated values
Density of states at the Fermi level ... 11.4 states/eV/f.u.
Formation enthalpy at 0 K ... 8.973 eV per formula unit
Volume ... 179.5 Å³/cell

Cell: 6.693 4.007 6.693 Å, 90.00 90.00 90.00°
Each line ends with the local moment (μB).
Sites, in units of the cell vectors:
Fe  0.000  0.500  0.000  2.31
Zr  0.500  0.500  0.500  0.30
Cs  0.500  0.000  0.000  0.00
Cs  0.000  0.000  0.500  0.01
Co  0.000  0.000  0.000  1.05

---

# 10
Na2SrAs2 after structural relaxation. Source: Alexandria via LeMat-Bulk, functional PBE.

Calculated values
Density of states at the Fermi level ... 2.4 states/eV/f.u.
Formation enthalpy at 0 K ... -2.303 eV per formula unit
Offset from the most stable computed form ... 179 meV/atom
Volume ... 241.0 Å³/cell

Cell: 8.477 8.477 3.354 Å, 90.00 90.00 90.00°
Sites, in units of the cell vectors:
As  0.185  0.685  0.500
As  0.685  0.815  0.500
As  0.815  0.315  0.500
As  0.315  0.185  0.500
Na  0.614  0.114  0.000
Na  0.886  0.614  0.000
Na  0.386  0.886  0.000
Na  0.114  0.386  0.000
Sr  0.000  0.000  0.000
Sr  0.500  0.500  0.000

---

# 11
Li5NdSe4 after structural relaxation. Source: Alexandria via LeMat-Bulk, functional PBE.

Calculated values
Density of states at the Fermi level ... 0.0 states/eV/f.u.
Raw formation energy ... -1.385 eV/atom
Volume ... 223.2 Å³/cell

Cell: 4.168 7.561 8.294 Å, 117.12 104.55 90.00°
Sites, in units of the cell vectors:
Li  0.179  0.972  0.358
Li  0.821  0.613  0.642
Li  0.179  0.387  0.358
Li  0.821  0.028  0.642
Li  0.500  0.500  0.000
Se  0.714  0.214  0.428
Se  0.000  0.271  0.000
Se  0.286  0.786  0.572
Se  0.000  0.729  0.000
Nd  0.500  0.000  0.000

---

# 12
La2SbP2 after structural relaxation. Source: Alexandria via LeMat-Bulk, functional PBE.

Calculated values
Density of states at the Fermi level ... 2.1 states/eV/f.u.
Raw formation energy ... -0.844 eV/atom
Offset from the most stable computed form ... 231 meV/atom
Volume ... 265.1 Å³/cell

Cell: 8.272 8.272 3.874 Å, 90.00 90.00 90.00°
Sites, in units of the cell vectors:
La  0.149  0.351  0.000
La  0.851  0.649  0.000
La  0.649  0.149  0.000
La  0.351  0.851  0.000
P  0.162  0.662  0.500
P  0.838  0.338  0.500
P  0.662  0.838  0.500
P  0.338  0.162  0.500
Sb  0.000  0.000  0.000
Sb  0.500  0.500  0.000

---

# 13
Pm2Nd2Tm15 after structural relaxation. Source: Alexandria via LeMat-Bulk, functional PBE.

Calculated values
Density of states at the Fermi level ... 35.5 states/eV/f.u.
Formation enthalpy at 0 K ... 5.321 eV per formula unit
Volume ... 625.0 Å³/cell

Cell: 8.653 8.653 8.653 Å, 80.73 80.73 80.73°
Sites, in units of the cell vectors:
Tm  0.000  0.500  0.000
Tm  0.305  0.000  0.695
Tm  0.847  0.363  0.363
Tm  0.000  0.695  0.305
Tm  0.363  0.363  0.847
Tm  0.637  0.637  0.153
Tm  0.363  0.847  0.363
Tm  0.305  0.695  0.000
Tm  0.637  0.153  0.637
Tm  0.695  0.305  0.000
Tm  0.000  0.000  0.500
Tm  0.500  0.000  0.000
Tm  0.153  0.637  0.637
Tm  0.695  0.000  0.305
Tm  0.000  0.305  0.695
Pm  0.336  0.336  0.336
Pm  0.664  0.664  0.664
Nd  0.119  0.119  0.119
Nd  0.881  0.881  0.881